## a
RuAu2 | SCAN | single point on PBEsol structure

Output
Space group: No. 63
M_tot: 0.00 μB/f.u.
DOS at the Fermi energy: 3.0 states/eV/f.u.

Cell lengths 7.607, 7.607, 4.568 Å; angles 90.00, 90.00, 159.13 degrees
Sites, in units of the cell vectors:
Ru 0.225 0.775 0.750
Ru 0.775 0.225 0.250
Au 0.118 0.882 0.250
Au 0.443 0.557 0.250
Au 0.557 0.443 0.750
Au 0.882 0.118 0.750

***

## b
RuAu2 | SCAN | single point on PBEsol structure

Output
Space group: No. 63
M_tot: 1.62 μB/f.u.
DOS at the Fermi energy: 1.8 states/eV/f.u.

Cell lengths 6.324, 6.324, 3.864 Å; angles 90.00, 90.00, 142.06 degrees
Sites, in units of the cell vectors:
Ru 0.068 0.932 0.750
Ru 0.932 0.068 0.250
Au 0.249 0.751 0.250
Au 0.416 0.584 0.750
Au 0.584 0.416 0.250
Au 0.751 0.249 0.750

***

Of them, the most stable is b and the least stable is a.

***

## a
SiRuAu | SCAN | single point on PBEsol structure

Output
Space group: No. 156
M_tot: 0.00 μB/f.u.
DOS at the Fermi energy: 1.2 states/eV/f.u.

Cell lengths 2.878, 2.878, 6.110 Å; angles 90.00, 90.00, 120.00 degrees
Sites, in units of the cell vectors:
Si 0.000 0.000 0.000
Ru 0.667 0.333 0.274
Au 0.333 0.667 0.658

***

## b
SiRuAu | SCAN | single point on PBEsol structure

Output
Space group: No. 42
M_tot: 0.00 μB/f.u.
DOS at the Fermi energy: 1.3 states/eV/f.u.

Cell lengths 6.630, 6.366, 2.830 Å; angles 82.69, 72.26, 25.05 degrees
Sites, in units of the cell vectors:
Si 0.000 0.000 0.000
Ru 0.637 0.637 0.363
Au 0.330 0.330 0.670

***

Of them, the most stable is a and the least stable is b.

***

## a
TcRuAu2 | SCAN | single point on PBEsol structure

Output
Space group: No. 25
M_tot: 0.00 μB/f.u.
DOS at the Fermi energy: 3.2 states/eV/f.u.

Cell lengths 2.803, 3.805, 5.696 Å; angles 90.00, 90.00, 90.00 degrees
Sites, in units of the cell vectors:
Tc 0.000 0.000 0.000
Ru 0.500 0.500 0.800
Au 0.000 0.000 0.529
Au 0.500 0.500 0.269

***

## b
TcRuAu2 | SCAN | single point on PBEsol structure

Output
Space group: No. 65
M_tot: 0.00 μB/f.u.
DOS at the Fermi energy: 3.4 states/eV/f.u.

Cell lengths 4.926, 4.926, 2.735 Å; angles 90.00, 90.00, 114.32 degrees
Sites, in units of the cell vectors:
Tc 0.000 0.000 0.000
Ru 0.500 0.500 0.000
Au 0.000 0.500 0.500
Au 0.500 0.000 0.500

***

Of them, the most stable is a and the least stable is b.

***

## a
Te2RuAu | SCAN | single point on PBEsol structure

Output
Space group: No. 10
M_tot: 0.00 μB/f.u.
DOS at the Fermi energy: 3.6 states/eV/f.u.

Cell lengths 3.898, 3.907, 5.560 Å; angles 90.00, 90.21, 90.00 degrees
Sites, in units of the cell vectors:
Te 0.000 0.000 0.000
Te 0.500 0.500 0.500
Ru 0.000 0.000 0.500
Au 0.500 0.500 0.000

***

## b
Te2RuAu | SCAN | single point on PBEsol structure

Output
Space group: No. 123
M_tot: 0.00 μB/f.u.
DOS at the Fermi energy: 2.5 states/eV/f.u.

Cell lengths 4.788, 4.788, 3.409 Å; angles 90.00, 90.00, 90.00 degrees
Sites, in units of the cell vectors:
Te 0.000 0.500 0.000
Te 0.500 0.000 0.000
Ru 0.000 0.000 0.500
Au 0.500 0.500 0.500

***

Of them, the most stable is a and the least stable is b.

***

## a
TlRuAu2 | SCAN | single point on PBEsol structure

Output
Space group: No. 12
M_tot: 1.14 μB/f.u.
DOS at the Fermi energy: 1.9 states/eV/f.u.

Cell lengths 5.772, 5.772, 2.945 Å; angles 104.38, 104.38, 122.80 degrees
Sites, in units of the cell vectors:
Tl 0.000 0.000 0.000
Ru 0.500 0.500 0.000
Au 0.000 0.500 0.500
Au 0.500 0.000 0.500

***

## b
TlRuAu2 | SCAN | single point on PBEsol structure

Output
Space group: No. 65
M_tot: 0.00 μB/f.u.
DOS at the Fermi energy: 2.0 states/eV/f.u.

Cell lengths 4.922, 4.922, 3.097 Å; angles 90.00, 90.00, 111.55 degrees
Sites, in units of the cell vectors:
Tl 0.000 0.000 0.000
Ru 0.500 0.500 0.000
Au 0.000 0.500 0.500
Au 0.500 0.000 0.500

***

Of them, the most stable is a and the least stable is b.

***

## a
RuWAu2 | SCAN | single point on PBEsol structure

Output
Space group: No. 25
M_tot: 0.00 μB/f.u.
DOS at the Fermi energy: 2.4 states/eV/f.u.

Cell lengths 2.846, 3.834, 5.714 Å; angles 90.00, 90.00, 90.00 degrees
Sites, in units of the cell vectors:
Ru 0.000 0.000 0.000
W 0.500 0.500 0.207
Au 0.000 0.000 0.475
Au 0.500 0.500 0.731

***

## b
RuWAu2 | SCAN | single point on PBEsol structure

Output
Space group: No. 123
M_tot: 0.00 μB/f.u.
DOS at the Fermi energy: 2.9 states/eV/f.u.

Cell lengths 4.672, 4.672, 2.872 Å; angles 90.00, 90.00, 90.00 degrees
Sites, in units of the cell vectors:
Ru 0.000 0.000 0.000
W 0.500 0.500 0.000
Au 0.000 0.500 0.500
Au 0.500 0.000 0.500

***

## c
RuWAu2 | SCAN | single point on PBEsol structure

Output
Space group: No. 47
M_tot: 0.00 μB/f.u.
DOS at the Fermi energy: 3.1 states/eV/f.u.

Cell lengths 2.830, 4.151, 5.282 Å; angles 90.00, 90.00, 90.00 degrees
Sites, in units of the cell vectors:
Ru 0.000 0.000 0.000
W 0.000 0.000 0.500
Au 0.500 0.500 0.251
Au 0.500 0.500 0.749

***

Of them, the most stable is a and the least stable is b.